# 1
Compound: Cs2Pu3AlO12
Source: Alexandria via LeMat-Bulk
Functional: PBE
Structure: optimized geometry

Output
total magnetization = 5.00 μB per cell
ΔE_f (raw) = -238.3 kJ/mol of atoms
space group = R-3m (166)
total DFT energy (no corrections) = -152.40 eV per cell
calculated density = 6.554 g cm⁻³

Cell and atoms, written as POSCAR:
```
Cs2Pu3AlO12
1.0
-2.3261 -4.2735 -5.5054
1.9581 -7.0678 0.4415
-5.4064 -4.6769 1.6971
Cs Pu Al O
2 3 1 12
Direct
0.6273 0.6273 0.6273
0.3727 0.3727 0.3727
0.5000 0.0000 0.0000
0.0000 0.5000 0.0000
0.0000 0.0000 0.5000
0.0000 0.0000 0.0000
0.3233 0.3233 0.9428
0.9454 0.9454 0.2960
0.2960 0.9454 0.9454
0.9428 0.3233 0.3233
0.9454 0.2960 0.9454
0.3233 0.9428 0.3233
0.6767 0.6767 0.0572
0.0546 0.0546 0.7040
0.7040 0.0546 0.0546
0.0572 0.6767 0.6767
0.0546 0.7040 0.0546
0.6767 0.0572 0.6767
```

# 2
Compound: Er4ThSc
Source: Alexandria via LeMat-Bulk
Functional: PBE
Structure: optimized geometry

Output
total magnetization = 0.00 μB per cell
ΔE_f = 0.204 eV per atom
space group = Pm (6)
excess energy over the best structure of this formula in the dataset = 171 meV/atom
total DFT energy (no corrections) = -30.78 eV per cell
calculated density = 8.492 g cm⁻³

Cell and atoms, written as POSCAR:
```
Er4ThSc
1.0
3.3489 0.0013 0.0067
0.0001 5.7532 -0.0012
0.0109 0.0017 9.6011
Er Th Sc
4 1 1
Direct
0.5034 0.9973 0.1821
0.4991 0.9974 0.8141
0.0028 0.4973 0.6903
0.0009 0.4972 0.3059
0.0000 0.9971 0.4981
0.5016 0.4974 0.9982
```